Entry from the Alexandria database: a relaxed structure of LiHfCd2 (PBE).

Calculated values
DFT formation energy (eV per atom): -0.108
ρ (Mg/m³): 8.74
Space-group type: P4/mmm (123)
Offset from the most stable computed form (meV/atom): 0

Lattice parameters (Å, degrees): 3.2133 3.2133 7.5453 90.00 90.00 90.00
Positions (direct):
1 Hf 0.5000 0.5000 0.5000
2 Li 0.5000 0.5000 0.0000
3 Cd 0.0000 0.0000 0.2247
4 Cd 0.0000 0.0000 0.7753

Entry from the Alexandria database: a relaxed structure of LiAlCo2C (PBE).

Calculated values
DFT formation energy (eV per atom): -0.112
ρ (Mg/m³): 5.16
Space-group type: P4/mmm (123)

Lattice parameters (Å, degrees): 3.6919 3.6919 3.8700 90.00 90.00 90.00
Positions (direct):
1 Al 0.5000 0.5000 0.5000
2 Co 0.5000 0.0000 0.0000
3 Co 0.0000 0.5000 0.0000
4 Li 0.0000 0.0000 0.5000
5 C 0.0000 0.0000 0.0000

Entry from the Alexandria database: a relaxed structure of Th8Sb2Ru (PBE).

Calculated values
Formation energy (no corrections) (eV/atom): -0.26
ρ (Mg/m³): 11.12
Space-group type: C2/m (12)

Lattice parameters (Å, degrees): 5.5499 6.7856 9.8778 111.99 106.32 90.00
Positions (direct):
1 Sb 0.8286 0.2701 0.6572
2 Sb 0.1714 0.7299 0.3428
3 Th 0.3585 0.0218 0.7170
4 Th 0.2219 0.3173 0.4438
5 Th 0.4112 0.5657 0.8225
6 Th 0.0039 0.7673 0.0078
7 Th 0.9961 0.2327 0.9922
8 Th 0.5888 0.4343 0.1775
9 Th 0.7781 0.6827 0.5562
10 Th 0.6415 0.9782 0.2830
11 Ru 0.5000 0.0000 0.0000

What did we get for spin magnetization? Answer: 0.000; 0.000; 0.000 μB/cell, in the order shown.
What did we get for raw total energy? Answer: -14.13; -29.65; -79.75 eV/f.u., in the order shown.